This record from Alexandria describes a relaxed BaLiFe crystal. The functional is PBE.

distance to the lowest polymorph of the same formula	0.0221	eV/atom
magnetization	2.47	μB per cell
symmetry	P3m1, No. 156
calculated formation energy	62.50	kJ per mole of atoms
calculated volume	29.09	A^3/atom
calculated total energy	-3.452	eV per atom

Geometry as CIF:
```
data_BaLiFe
_cell_length_a 4.687
_cell_length_b 4.687
_cell_length_c 4.586
_cell_angle_alpha 90.00
_cell_angle_beta 90.00
_cell_angle_gamma 120.00
_space_group_name_H-M_alt 'P 1'
_space_group_IT_number 1
loop_
_space_group_symop_operation_xyz
'x,y,z'
loop_
_atom_site_label
_atom_site_type_symbol
_atom_site_fract_x
_atom_site_fract_y
_atom_site_fract_z
Ba1 Ba 0.000 0.000 0.000
Li1 Li 0.667 0.333 0.491
Fe1 Fe 0.333 0.667 0.498
```

=====

This record from Alexandria describes a relaxed K2RbIrCl6 crystal. The functional is PBE.

E_form (uncorrected)	-1.35	eV per atom
magnetization	0.00	μB per cell
symmetry	Pmmn, No. 59
calculated volume	33.16	A^3/atom
calculated total energy	-3.661	eV per atom

Geometry as CIF:
```
data_K2RbIrCl6
_cell_length_a 7.055
_cell_length_b 10.782
_cell_length_c 8.717
_cell_angle_alpha 90.00
_cell_angle_beta 90.00
_cell_angle_gamma 90.00
_space_group_name_H-M_alt 'P 1'
_space_group_IT_number 1
loop_
_space_group_symop_operation_xyz
'x,y,z'
loop_
_atom_site_label
_atom_site_type_symbol
_atom_site_fract_x
_atom_site_fract_y
_atom_site_fract_z
K1 K 0.250 0.053 0.165
K2 K 0.250 0.447 0.165
K3 K 0.750 0.553 0.835
K4 K 0.750 0.947 0.835
Rb1 Rb 0.250 0.250 0.674
Rb2 Rb 0.750 0.750 0.326
Ir1 Ir 0.250 0.750 0.817
Ir2 Ir 0.750 0.250 0.183
Cl1 Cl 0.010 0.750 0.628
Cl2 Cl 0.017 0.750 0.015
Cl3 Cl 0.250 0.530 0.816
Cl4 Cl 0.250 0.970 0.816
Cl5 Cl 0.483 0.750 0.015
Cl6 Cl 0.490 0.750 0.628
Cl7 Cl 0.510 0.250 0.372
Cl8 Cl 0.517 0.250 0.985
Cl9 Cl 0.750 0.030 0.184
Cl10 Cl 0.750 0.470 0.184
Cl11 Cl 0.983 0.250 0.985
Cl12 Cl 0.990 0.250 0.372
```